LiCoSbO4: relaxed, PBE+U.

Cell: 6.189 6.189 6.189 Å, 121.62 119.93 88.66°
Positions (direct):
1 Li 0.395 0.145 0.250
2 Li 0.605 0.855 0.750
3 Co 0.000 0.000 0.500
4 Co 0.000 0.500 0.000
5 Sb 0.000 0.500 0.500
6 Sb 0.500 0.500 0.000
7 O 0.203 0.723 0.480
8 O 0.250 0.273 0.523
9 O 0.250 0.726 0.977
10 O 0.257 0.277 0.980
11 O 0.743 0.723 0.020
12 O 0.750 0.274 0.023
13 O 0.750 0.727 0.477
14 O 0.797 0.277 0.520

Calculated values
Total energy ... -5.955 eV/atom
ρ ... 5047 kg/m3